[1]
MnTl2PbCl6: relaxed, GGA-PBE.

It has space group P-1 (No. 2), with a = 7.376 Å, b = 7.418 Å, c = 7.455 Å, α = 90.57°, β = 118.56° and γ = 119.17°. The asymmetric unit holds Mn at (0.000, 0.000, 0.000), Tl at (0.496, 0.763, 0.226), Pb at (0.000, 0.500, 0.500), Cl at (0.018, 0.302, 0.836), Cl at (0.063, 0.202, 0.321) and Cl at (0.470, 0.189, 0.194).

As for the formation energy from raw total energies: -1.079 eV per atom. Its magnetic moment is 5.0 μB per cell. The energy comes out at -3.948 eV/atom.

=====

[2]
Ca2PmEr: relaxed, GGA-PBE.

It has space group P4/mmm (No. 123), with a = 4.149 Å, b = 4.149 Å, c = 8.330 Å, α = 90.00°, β = 90.00° and γ = 90.00°. The asymmetric unit holds Ca at (0.000, 0.000, 0.244), Pm at (0.500, 0.500, 0.500) and Er at (0.500, 0.500, 0.000).

Its magnetic moment is 0.0 μB per cell. The energy comes out at -3.158 eV/atom.

=====

[3]
K2Na9Hg3: relaxed, GGA-PBE.

It has space group C2/c (No. 15), with a = 17.163 Å, b = 9.444 Å, c = 13.286 Å, α = 90.00°, β = 115.67° and γ = 90.00°. The asymmetric unit holds K at (0.183, 0.067, 0.245), Na at (0.000, 0.319, 0.250), Na at (0.056, 0.066, 0.918), Na at (0.092, 0.404, 0.035), Na at (0.103, 0.326, 0.751), Na at (0.225, 0.411, 0.439), Hg at (0.092, 0.246, 0.515) and Hg at (0.250, 0.250, 0.000).

Its magnetic moment is 0.0 μB per cell. The energy comes out at -1.194 eV/atom.

=====

[4]
Er2Ag2RhO6: relaxed, GGA-PBE.

It has space group C2/m (No. 12), with a = 5.719 Å, b = 10.095 Å, c = 6.419 Å, α = 90.00°, β = 101.01° and γ = 90.00°. The asymmetric unit holds Er at (0.000, 0.162, 0.000), Ag at (0.000, 0.349, 0.500), Rh at (0.000, 0.500, 0.000), O at (0.114, 0.344, 0.830) and O at (0.160, 0.000, 0.843).

As for the formation energy from raw total energies: -1.767 eV per atom. Its magnetic moment is 2.1 μB per cell. The energy comes out at -6.487 eV/atom.